No. 1
Below is a geometry-optimized Pu2GaCu structure, with properties calculated at the PBE-GGA level.

a b c (Å): 2.653 2.653 11.285
angles (deg): 83.25 83.25 60.00
Positions (direct):
Pu 0.914 0.914 0.259
Pu 0.086 0.086 0.741
Cu 0.000 0.000 0.000
Ga 0.500 0.500 0.500

Values from the calculation:
For the electronic total energy, the calculation gives -8.58 eV/atom. As for the formation energy: 0.370 eV/atom. As for the space group: R-3m (166).

=====

No. 2
Below is a geometry-optimized Pu2Ga8Cu structure, with properties calculated at the PBE-GGA level.

a b c (Å): 4.318 4.318 11.106
angles (deg): 90.00 90.00 90.00
Positions (direct):
Ga 0.500 0.500 0.306
Ga 0.000 0.500 0.875
Ga 0.000 0.500 0.125
Ga 0.000 0.500 0.500
Ga 0.500 0.500 0.694
Ga 0.500 0.000 0.875
Ga 0.500 0.000 0.500
Ga 0.500 0.000 0.125
Pu 0.000 0.000 0.692
Pu 0.000 0.000 0.308
Cu 0.000 0.000 0.000

Values from the calculation:
For the electronic total energy, the calculation gives -5.49 eV/atom. As for the formation energy: -0.312 eV/atom. As for the space group: P4/mmm (123).

=====

No. 3
Below is a geometry-optimized PuGa2Cu structure, with properties calculated at the PBE-GGA level.

a b c (Å): 4.364 4.179 4.179
angles (deg): 90.00 90.00 90.00
Positions (direct):
Ga 0.000 0.000 0.500
Ga 0.000 0.500 0.000
Cu 0.500 0.000 0.000
Pu 0.500 0.500 0.500

Values from the calculation:
For the electronic total energy, the calculation gives -6.22 eV/atom. As for the formation energy: -0.095 eV/atom. As for the space group: P4/mmm (123).

=====

No. 4
Below is a geometry-optimized PuGa6Cu6 structure, with properties calculated at the PBE-GGA level.

a b c (Å): 5.130 6.667 6.667
angles (deg): 80.60 67.37 67.37
Positions (direct):
Ga 0.000 0.654 0.346
Ga 0.000 0.346 0.654
Ga 0.307 0.193 0.193
Ga 0.652 0.348 0.348
Ga 0.348 0.652 0.652
Ga 0.693 0.807 0.807
Cu 0.000 0.000 0.500
Cu 0.000 0.500 0.000
Cu 0.500 0.234 0.766
Cu 0.500 0.000 0.500
Cu 0.500 0.766 0.234
Cu 0.500 0.500 0.000
Pu 0.000 0.000 0.000

Values from the calculation:
For the electronic total energy, the calculation gives -4.61 eV/atom. As for the formation energy: -0.224 eV/atom. As for the space group: Immm (71).

=====

No. 5
Below is a geometry-optimized PuGa3Cu8 structure, with properties calculated at the PBE-GGA level.

a b c (Å): 4.953 4.953 8.258
angles (deg): 90.00 90.00 120.00
Positions (direct):
Pu 0.000 0.000 0.568
Ga 0.667 0.333 0.062
Ga 0.000 0.000 0.946
Ga 0.667 0.333 0.421
Cu 0.333 0.667 0.495
Cu 0.165 0.330 0.242
Cu 0.333 0.667 0.000
Cu 0.995 0.498 0.761
Cu 0.502 0.498 0.761
Cu 0.165 0.835 0.242
Cu 0.502 0.005 0.761
Cu 0.670 0.835 0.242

Values from the calculation:
For the electronic total energy, the calculation gives -4.71 eV/atom. As for the formation energy: -0.027 eV/atom. As for the space group: P3m1 (156).

=====

No. 6
Below is a geometry-optimized PuGa7Cu12 structure, with properties calculated at the PBE-GGA level.

a b c (Å): 6.449 7.573 7.573
angles (deg): 112.28 106.49 106.49
Positions (direct):
Ga 0.500 0.000 0.000
Ga 0.192 0.656 0.000
Ga 0.192 0.000 0.656
Ga 0.808 0.000 0.344
Ga 0.808 0.344 0.000
Ga 0.464 0.656 0.656
Ga 0.536 0.344 0.344
Cu 0.053 0.659 0.659
Cu 0.393 0.341 0.000
Cu 0.607 0.000 0.659
Cu 0.273 0.545 0.273
Cu 0.947 0.341 0.341
Cu 0.273 0.273 0.545
Cu 0.727 0.727 0.455
Cu 0.393 0.000 0.341
Cu 0.000 0.727 0.273
Cu 0.727 0.455 0.727
Cu 0.000 0.273 0.727
Cu 0.607 0.659 0.000
Pu 0.000 0.000 0.000

Values from the calculation:
For the electronic total energy, the calculation gives -4.25 eV/atom. As for the formation energy: -0.017 eV/atom. As for the space group: R-3m (166).

=====

No. 7
Below is a geometry-optimized Pu2GaCu structure, with properties calculated at the PBE-GGA level.

a b c (Å): 3.075 5.331 5.331
angles (deg): 111.79 90.01 90.01
Positions (direct):
Ga 0.500 0.000 0.500
Pu 0.000 0.500 0.500
Pu 0.000 0.000 0.000
Cu 0.500 0.500 0.000

Values from the calculation:
For the electronic total energy, the calculation gives -9.05 eV/atom. As for the formation energy: -0.101 eV/atom. As for the space group: Cmmm (65).

=====

No. 8
Below is a geometry-optimized PuGaCu3 structure, with properties calculated at the PBE-GGA level.

a b c (Å): 5.303 7.388 6.464
angles (deg): 124.85 114.22 90.00
Positions (direct):
Cu 0.250 0.794 0.500
Cu 0.654 0.154 0.808
Cu 0.846 0.846 0.192
Cu 0.154 0.154 0.808
Cu 0.750 0.206 0.500
Cu 0.346 0.846 0.192
Ga 0.500 0.000 0.000
Ga 0.000 0.500 0.000
Pu 0.750 0.631 0.500
Pu 0.250 0.369 0.500

Values from the calculation:
For the electronic total energy, the calculation gives -5.89 eV/atom. As for the formation energy: 0.038 eV/atom. As for the space group: Imma (74).

=====

No. 9
Below is a geometry-optimized Pu2GaCu structure, with properties calculated at the PBE-GGA level.

a b c (Å): 5.555 6.304 6.304
angles (deg): 78.81 63.86 63.86
Positions (direct):
Pu 0.642 0.983 0.483
Pu 0.875 0.483 0.017
Pu 0.108 0.017 0.517
Pu 0.375 0.517 0.983
Cu 0.750 0.500 0.500
Cu 0.000 0.000 0.000
Ga 0.500 0.000 0.000
Ga 0.250 0.500 0.500

Values from the calculation:
For the electronic total energy, the calculation gives -8.77 eV/atom. As for the formation energy: 0.178 eV/atom. As for the space group: I-42d (122).

=====

No. 10
Below is a geometry-optimized Pu3Ga8Cu3 structure, with properties calculated at the PBE-GGA level.

a b c (Å): 4.424 8.069 8.069
angles (deg): 67.96 74.09 74.09
Positions (direct):
Ga 0.635 0.660 0.070
Ga 0.147 0.496 0.210
Ga 0.365 0.340 0.930
Ga 0.365 0.930 0.340
Ga 0.147 0.210 0.496
Ga 0.853 0.790 0.504
Ga 0.853 0.504 0.790
Ga 0.635 0.070 0.660
Pu 0.216 0.784 0.784
Pu 0.500 0.500 0.500
Pu 0.784 0.216 0.216
Cu 0.500 0.000 0.000
Cu 0.000 0.160 0.840
Cu 0.000 0.840 0.160

Values from the calculation:
For the electronic total energy, the calculation gives -5.98 eV/atom. As for the formation energy: -0.297 eV/atom. As for the space group: Immm (71).

=====

No. 11
Below is a geometry-optimized PuGa2Cu structure, with properties calculated at the PBE-GGA level.

a b c (Å): 4.468 6.445 10.189
angles (deg): 90.00 90.00 90.00
Positions (direct):
Cu 0.250 0.546 0.111
Cu 0.750 0.954 0.611
Cu 0.750 0.454 0.889
Cu 0.250 0.046 0.389
Ga 0.750 0.260 0.455
Ga 0.750 0.760 0.045
Ga 0.250 0.927 0.153
Ga 0.750 0.073 0.847
Ga 0.250 0.740 0.545
Ga 0.750 0.573 0.653
Ga 0.250 0.427 0.347
Ga 0.250 0.240 0.955
Pu 0.750 0.236 0.158
Pu 0.250 0.764 0.842
Pu 0.250 0.264 0.658
Pu 0.750 0.736 0.342

Values from the calculation:
For the electronic total energy, the calculation gives -6.41 eV/atom. As for the formation energy: -0.292 eV/atom. As for the space group: Pnma (62).

=====

No. 12
Below is a geometry-optimized PuGa2Cu structure, with properties calculated at the PBE-GGA level.

a b c (Å): 2.911 2.911 10.207
angles (deg): 81.80 81.80 60.00
Positions (direct):
Ga 0.901 0.901 0.297
Ga 0.099 0.099 0.703
Pu 0.000 0.000 0.000
Cu 0.500 0.500 0.500

Values from the calculation:
For the electronic total energy, the calculation gives -5.94 eV/atom. As for the formation energy: 0.178 eV/atom. As for the space group: R-3m (166).

=====

No. 13
Below is a geometry-optimized PuGa7Cu5 structure, with properties calculated at the PBE-GGA level.

a b c (Å): 5.173 6.732 6.732
angles (deg): 82.40 67.40 67.40
Positions (direct):
Ga 0.272 0.228 0.228
Ga 0.648 0.352 0.352
Ga 0.992 0.663 0.353
Ga 0.992 0.353 0.663
Ga 0.508 0.791 0.192
Ga 0.344 0.656 0.656
Ga 0.508 0.192 0.791
Cu 0.731 0.769 0.769
Cu 0.499 0.498 0.999
Cu 0.004 0.999 0.498
Cu 0.499 0.999 0.498
Cu 0.004 0.498 0.999
Pu 0.998 0.002 0.002

Values from the calculation:
For the electronic total energy, the calculation gives -4.52 eV/atom. As for the formation energy: -0.208 eV/atom. As for the space group: Imm2 (44).

=====

No. 14
Below is a geometry-optimized Pu3GaCu3 structure, with properties calculated at the PBE-GGA level.

a b c (Å): 4.212 5.588 13.003
angles (deg): 90.00 90.00 112.14
Positions (direct):
Pu 0.221 0.441 0.603
Pu 0.515 0.030 0.750
Pu 0.779 0.559 0.397
Pu 0.485 0.970 0.250
Pu 0.779 0.559 0.103
Pu 0.221 0.441 0.897
Ga 0.500 0.000 0.000
Ga 0.500 0.000 0.500
Cu 0.933 0.867 0.910
Cu 0.193 0.385 0.250
Cu 0.807 0.615 0.750
Cu 0.067 0.133 0.410
Cu 0.067 0.133 0.090
Cu 0.933 0.867 0.590

Values from the calculation:
For the electronic total energy, the calculation gives -8.38 eV/atom. As for the formation energy: -0.053 eV/atom. As for the space group: Cmcm (63).

=====

No. 15
Below is a geometry-optimized PuGa3Cu2 structure, with properties calculated at the PBE-GGA level.

a b c (Å): 5.108 6.441 6.441
angles (deg): 103.22 90.00 90.00
Positions (direct):
Cu 0.500 0.213 0.787
Cu 0.500 0.787 0.213
Cu 0.000 0.787 0.213
Cu 0.000 0.213 0.787
Pu 0.750 0.652 0.652
Pu 0.250 0.348 0.348
Ga 0.250 0.947 0.947
Ga 0.750 0.461 0.102
Ga 0.250 0.898 0.539
Ga 0.750 0.102 0.461
Ga 0.750 0.053 0.053
Ga 0.250 0.539 0.898

Values from the calculation:
For the electronic total energy, the calculation gives -5.49 eV/atom. As for the formation energy: -0.226 eV/atom. As for the space group: Cmcm (63).

=====

No. 16
Below is a geometry-optimized Pu3Ga3Cu structure, with properties calculated at the PBE-GGA level.

a b c (Å): 5.535 5.535 12.074
angles (deg): 87.92 87.92 50.28
Positions (direct):
Ga 0.121 0.121 0.431
Ga 0.936 0.936 0.249
Ga 0.879 0.879 0.569
Ga 0.122 0.122 0.958
Ga 0.064 0.064 0.751
Ga 0.878 0.878 0.042
Cu 0.276 0.276 0.628
Cu 0.724 0.724 0.372
Pu 0.251 0.251 0.195
Pu 0.424 0.424 0.402
Pu 0.580 0.580 0.119
Pu 0.749 0.749 0.805
Pu 0.576 0.576 0.598
Pu 0.420 0.420 0.881

Values from the calculation:
For the electronic total energy, the calculation gives -8.27 eV/atom. As for the formation energy: -0.241 eV/atom. As for the space group: C2/m (12).

=====

No. 17
Below is a geometry-optimized PuGa6Cu12 structure, with properties calculated at the PBE-GGA level.

a b c (Å): 6.829 6.829 6.829
angles (deg): 103.80 103.80 103.80
Positions (direct):
Cu 0.870 0.619 0.619
Cu 0.500 0.889 0.111
Cu 0.889 0.500 0.111
Cu 0.500 0.111 0.889
Cu 0.889 0.111 0.500
Cu 0.381 0.130 0.381
Cu 0.619 0.619 0.870
Cu 0.381 0.381 0.130
Cu 0.130 0.381 0.381
Cu 0.111 0.889 0.500
Cu 0.111 0.500 0.889
Cu 0.619 0.870 0.619
Ga 0.722 0.722 0.297
Ga 0.278 0.278 0.703
Ga 0.278 0.703 0.278
Ga 0.722 0.297 0.722
Ga 0.703 0.278 0.278
Ga 0.297 0.722 0.722
Pu 0.000 0.000 0.000

Values from the calculation:
For the electronic total energy, the calculation gives -4.30 eV/atom. As for the formation energy: 0.001 eV/atom. As for the space group: R-3m (166).

=====

No. 18
Below is a geometry-optimized PuGa2Cu structure, with properties calculated at the PBE-GGA level.

a b c (Å): 4.705 4.705 4.705
angles (deg): 60.00 60.00 60.00
Positions (direct):
Pu 0.000 0.000 0.000
Ga 0.250 0.250 0.250
Ga 0.750 0.750 0.750
Cu 0.500 0.500 0.500

Values from the calculation:
For the electronic total energy, the calculation gives -6.27 eV/atom. As for the formation energy: -0.153 eV/atom. As for the space group: Fm-3m (225).

=====

No. 19
Below is a geometry-optimized PuGa4Cu4 structure, with properties calculated at the PBE-GGA level.

a b c (Å): 4.485 8.192 8.192
angles (deg): 90.00 90.00 90.00
Positions (direct):
Cu 0.500 0.214 0.113
Cu 0.500 0.786 0.887
Cu 0.000 0.387 0.714
Cu 0.000 0.286 0.387
Cu 0.500 0.113 0.786
Cu 0.500 0.887 0.214
Cu 0.000 0.613 0.286
Cu 0.000 0.714 0.613
Ga 0.000 0.099 0.633
Ga 0.500 0.133 0.401
Ga 0.000 0.901 0.367
Ga 0.000 0.367 0.099
Ga 0.500 0.867 0.599
Ga 0.500 0.401 0.867
Ga 0.000 0.633 0.901
Ga 0.500 0.599 0.133
Pu 0.000 0.000 0.000
Pu 0.500 0.500 0.500

Values from the calculation:
For the electronic total energy, the calculation gives -4.79 eV/atom. As for the formation energy: -0.035 eV/atom. As for the space group: I4/m (87).

=====

No. 20
Below is a geometry-optimized Pu2GaCu structure, with properties calculated at the PBE-GGA level.

a b c (Å): 3.797 3.797 5.816
angles (deg): 90.00 90.00 90.00
Positions (direct):
Pu 0.000 0.000 0.253
Pu 0.000 0.000 0.747
Ga 0.500 0.500 0.000
Cu 0.500 0.500 0.500

Values from the calculation:
For the electronic total energy, the calculation gives -9.04 eV/atom. As for the formation energy: -0.093 eV/atom. As for the space group: P4/mmm (123).